Computed, not measured: a relaxed structure of TePb2Au at the GGA-PBE level of DFT.

abc: 3.4017 3.4017 9.6366
angles: 90.00 90.00 90.00
Atoms (fractional coordinates):
Te 0.0000 0.0000 0.0000
Pb 0.5000 0.5000 0.2944
Pb 0.5000 0.5000 0.7056
Au 0.0000 0.0000 0.5000

Results
**V**: 112 Å³ per cell
**Total energy**: -3.4752 eV per atom
**Energy relative to the elements, uncorrected**: -16.2 meV/atom
**Fermi-level density of states**: 2.66 states/eV/cell